Entry 1:
# TiPS (PBE, relaxed)
data_TiPS
_cell_length_a 9.720
_cell_length_b 9.720
_cell_length_c 9.720
_cell_angle_alpha 160.59
_cell_angle_beta 160.59
_cell_angle_gamma 27.58
_symmetry_space_group_name_H-M 'P 1'
_symmetry_Int_Tables_number 1
_symmetry_space_group_name_Hall 'P 1'
loop_
_atom_site_label
_atom_site_type_symbol
_atom_site_fract_x
_atom_site_fract_y
_atom_site_fract_z
Ti1 Ti 0.110 0.110 0.000
Ti2 Ti 0.890 0.890 0.000
P1 P 0.000 0.500 0.500
P2 P 0.500 0.000 0.500
S1 S 0.337 0.337 0.000
S2 S 0.663 0.663 0.000
# final energy: -40.300 eV/cell
# formation energy without anion corrections: -2.72 eV/f.u.
# density: 3.63 g/cm3
# calculated volume: 101.3 Å³/cell
# space-group type: I4/mmm

Entry 2:
# Li2Al2Au (PBE, relaxed)
data_Li2Al2Au
_cell_length_a 7.377
_cell_length_b 7.377
_cell_length_c 7.377
_cell_angle_alpha 152.56
_cell_angle_beta 152.56
_cell_angle_gamma 39.20
_symmetry_space_group_name_H-M 'P 1'
_symmetry_Int_Tables_number 1
_symmetry_space_group_name_Hall 'P 1'
loop_
_atom_site_label
_atom_site_type_symbol
_atom_site_fract_x
_atom_site_fract_y
_atom_site_fract_z
Li1 Li 0.250 0.750 0.500
Li2 Li 0.750 0.250 0.500
Al1 Al 0.096 0.096 0.000
Al2 Al 0.904 0.904 0.000
Au1 Au 0.500 0.500 0.000
# final energy: -15.015 eV/cell
# energy of formation: -0.43 eV per formula unit
# energy above the lowest structure with this stoichiometry: 156 meV per atom
# density: 5.17 g/cm3
# calculated volume: 85.1 Å³/cell
# space-group type: I4/mmm

What is the density in the second record? 5.17 g/cm3